1.
! TiCr2Tc (PBE, optimized geometry); values from VASP
&SYSTEM
  ibrav = 0, nat = 4, ntyp = 3
/
ATOMIC_SPECIES
Ti 47.87 Ti.upf
Cr 52.00 Cr.upf
Tc 98.00 Tc.upf
CELL_PARAMETERS angstrom
2.9847 0.0000 0.0000
0.0000 2.9847 0.0000
0.0000 0.0000 6.0284
ATOMIC_POSITIONS angstrom
Ti 0.0000 0.0000 0.0000
Cr 1.4924 1.4924 1.5452
Cr 1.4924 1.4924 4.4831
Tc 0.0000 0.0000 3.0142
! Excess energy over the best structure of this formula in the dataset in meV/atom: 28
! Calculated formation energy in meV per atom: -89.0
! Energy in eV/atom: -9.47
! Magnetization in μB/f.u.: 0.000

---

2.
! Pr7DyAl4 (PBE, optimized geometry); values from VASP
&SYSTEM
  ibrav = 0, nat = 12, ntyp = 3
/
ATOMIC_SPECIES
Pr 140.91 Pr.upf
Dy 162.50 Dy.upf
Al 26.98 Al.upf
CELL_PARAMETERS angstrom
7.0977 -2.8570 0.0000
7.0977 2.8570 0.0000
-6.0761 0.0000 8.9339
ATOMIC_POSITIONS angstrom
Pr 0.0000 0.0000 0.0000
Pr -1.0176 0.0000 5.7882
Pr 3.4587 0.0000 1.0644
Pr 2.4316 0.0000 5.4830
Pr 5.6877 0.0000 3.4509
Pr 4.6606 0.0000 7.8695
Pr 9.1369 0.0000 3.1457
Dy 7.0977 0.0000 0.0000
Al -3.8850 0.0000 6.7819
Al 0.4609 0.0000 2.9556
Al 7.6584 0.0000 5.9783
Al 12.0043 0.0000 2.1520
! Calculated formation energy in meV per atom: -65.1
! Energy in eV/atom: -4.48
! Magnetization in μB/f.u.: 0.000

---

3.
! Cr2Ir3 (PBE, optimized geometry); values from VASP
&SYSTEM
  ibrav = 0, nat = 5, ntyp = 2
/
ATOMIC_SPECIES
Cr 52.00 Cr.upf
Ir 192.22 Ir.upf
CELL_PARAMETERS angstrom
4.1056 0.0000 0.0000
-2.0528 3.5556 0.0000
0.0000 0.0000 5.1294
ATOMIC_POSITIONS angstrom
Cr 0.0000 2.3704 1.6606
Cr 2.0528 1.1852 3.4688
Ir 0.0000 0.0000 2.5647
Ir 0.0000 2.3704 4.3149
Ir 2.0528 1.1852 0.8145
! Calculated formation energy in meV per atom: 186.6
! Energy in eV/atom: -8.98
! Magnetization in μB/f.u.: 3.214

---

4.
! AlAuS3 (PBE, optimized geometry); values from VASP
&SYSTEM
  ibrav = 0, nat = 5, ntyp = 3
/
ATOMIC_SPECIES
Al 26.98 Al.upf
Au 196.97 Au.upf
S 32.06 S.upf
CELL_PARAMETERS angstrom
4.6079 0.0000 0.0000
0.0000 4.6079 0.0000
0.0000 0.0000 4.6079
ATOMIC_POSITIONS angstrom
Al 0.0000 0.0000 0.0000
Au 2.3040 2.3040 2.3040
S 0.0000 0.0000 2.3040
S 0.0000 2.3040 0.0000
S 2.3040 0.0000 0.0000
! Excess energy over the best structure of this formula in the dataset in meV/atom: 0
! Energy in eV/atom: -3.56
! Magnetization in μB/f.u.: 0.000
! Formation energy from raw total energies in eV per atom: 0.32

---

5.
! BaAg9Sn4 (PBE, optimized geometry); values from VASP
&SYSTEM
  ibrav = 0, nat = 28, ntyp = 3
/
ATOMIC_SPECIES
Ba 137.33 Ba.upf
Ag 107.87 Ag.upf
Sn 118.71 Sn.upf
CELL_PARAMETERS angstrom
-4.7731 4.7731 6.8344
4.7731 -4.7731 6.8344
4.7731 4.7731 -6.8344
ATOMIC_POSITIONS angstrom
Ba 0.0000 0.0000 3.4172
Ba 0.0000 0.0000 10.2516
Ag 4.7731 0.0000 0.0000
Ag 7.6238 0.5533 0.0000
Ag 3.6615 -1.1117 2.4354
Ag 0.5533 1.9225 0.0000
Ag 5.8848 -1.1117 4.3990
Ag 5.8848 1.1117 2.4354
Ag 5.3264 2.8506 0.0000
Ag 3.6615 1.1117 4.3990
Ag 2.8506 4.2198 0.0000
Ag 0.0000 4.7731 0.0000
Ag 1.9225 0.5533 6.8344
Ag 1.1117 3.6615 2.4354
Ag -0.5533 1.9225 6.8344
Ag -1.1117 3.6615 4.3990
Ag -1.1117 5.8848 2.4354
Ag 4.2198 2.8506 6.8344
Ag 1.1117 5.8848 4.3990
Ag -2.8506 4.2198 6.8344
Sn 3.0394 1.7337 -1.6712
Sn 3.0394 -1.7337 5.1633
Sn 3.0394 1.7337 1.6712
Sn 3.0394 -1.7337 8.5056
Sn 1.7337 6.5068 -1.6712
Sn 1.7337 3.0394 5.1633
Sn 1.7337 6.5068 1.6712
Sn 1.7337 3.0394 8.5056
! Calculated formation energy in meV per atom: -154.2
! Energy in eV/atom: -3.27
! Magnetization in μB/f.u.: 0.000

---

6.
! CuHICl (PBE, optimized geometry); values from VASP
&SYSTEM
  ibrav = 0, nat = 8, ntyp = 4
/
ATOMIC_SPECIES
Cu 63.55 Cu.upf
H 1.01 H.upf
I 126.90 I.upf
Cl 35.45 Cl.upf
CELL_PARAMETERS angstrom
2.0989 1.2118 14.5252
-2.0989 1.2118 14.5252
0.0000 -2.4236 14.5252
ATOMIC_POSITIONS angstrom
Cu 0.0000 0.0000 6.5451
Cu 0.0000 0.0000 37.0304
H 0.0000 0.0000 14.4051
H 0.0000 0.0000 29.1704
I 0.0000 0.0000 9.1572
I 0.0000 0.0000 34.4184
Cl 0.0000 0.0000 13.1116
Cl 0.0000 0.0000 30.4639
! Energy in eV/atom: -3.02
! Magnetization in μB/f.u.: 0.000

---

7.
! Nb2As2Pd (PBE, optimized geometry); values from VASP
&SYSTEM
  ibrav = 0, nat = 10, ntyp = 3
/
ATOMIC_SPECIES
Nb 92.91 Nb.upf
As 74.92 As.upf
Pd 106.42 Pd.upf
CELL_PARAMETERS angstrom
7.2808 0.0000 0.0000
0.0000 7.2808 0.0000
0.0000 0.0000 3.3302
ATOMIC_POSITIONS angstrom
Nb 1.0365 2.6039 0.0000
Nb 2.6039 6.2443 0.0000
Nb 4.6769 1.0365 0.0000
Nb 6.2443 4.6769 0.0000
As 1.0867 4.7271 1.6651
As 2.5537 1.0867 1.6651
As 4.7271 6.1941 1.6651
As 6.1941 2.5537 1.6651
Pd 0.0000 0.0000 0.0000
Pd 3.6404 3.6404 0.0000
! Excess energy over the best structure of this formula in the dataset in meV/atom: 106
! Calculated formation energy in meV per atom: -308.5
! Energy in eV/atom: -7.23
! Magnetization in μB/f.u.: 0.000

---

8.
! AlCdPb2 (PBE, optimized geometry); values from VASP
&SYSTEM
  ibrav = 0, nat = 4, ntyp = 3
/
ATOMIC_SPECIES
Al 26.98 Al.upf
Cd 112.41 Cd.upf
Pb 207.20 Pb.upf
CELL_PARAMETERS angstrom
3.3920 0.0000 0.0000
0.0000 4.1766 0.0000
0.0000 0.0000 7.4987
ATOMIC_POSITIONS angstrom
Al 0.0000 0.0000 0.0000
Cd 1.6960 2.0883 1.4669
Pb 0.0000 0.0000 3.2597
Pb 1.6960 2.0883 5.7869
! Calculated formation energy in meV per atom: 137.9
! Energy in eV/atom: -2.88
! Magnetization in μB/f.u.: 0.000